Compound: Pm12NdDy6
Source: the Alexandria database
Functional: PBE
Structure: relaxed

Results
- D(E_F): 31.45 states/eV per cell
- Crystal system: trigonal
- ρ: 7.32 g cm⁻³
- E above lowest polymorph: 0.000 eV/atom
- ΔH_f (0 K): 136.2 meV/atom
- M_tot: 0.000 μB/cell

abc: 8.6597 8.6597 8.6597
angles: 88.92 88.92 88.92
Element x y z (fractional)
Pm  0.7794  0.5372  0.4333
Pm  0.4333  0.7794  0.5372
Pm  0.5372  0.4333  0.7794
Pm  0.2206  0.4628  0.5667
Pm  0.5667  0.2206  0.4628
Pm  0.4628  0.5667  0.2206
Pm  0.0164  0.1981  0.3613
Pm  0.8019  0.6387  0.9836
Pm  0.6387  0.9836  0.8019
Pm  0.9836  0.8019  0.6387
Pm  0.1981  0.3613  0.0164
Pm  0.3613  0.0164  0.1981
Nd  0.0000  0.0000  0.0000
Dy  0.7409  0.9019  0.3018
Dy  0.6982  0.2591  0.0981
Dy  0.0981  0.6982  0.2591
Dy  0.2591  0.0981  0.6982
Dy  0.3018  0.7409  0.9019
Dy  0.9019  0.3018  0.7409